Entry from Alexandria: a geometry-optimized InAs2Pb structure (PBE).

a = 6.407 Å, b = 6.407 Å, c = 12.860 Å
α = 90.00°, β = 90.00°, γ = 90.00°
Space group I-42d (No. 122)
Asymmetric unit:
In 0.000 0.000 0.000 (multiplicity 4)
As 0.229 0.250 0.125 (multiplicity 8)
Pb 0.000 0.000 0.500 (multiplicity 4)

Output
- ρ: 5.9 g cm⁻³
- Energy above the lowest structure with this stoichiometry: 0.000 eV/atom
- Energy of formation: -0.009 eV/atom